1.
# La2AgSb4Rh3

An optimized crystal structure of La2AgSb4Rh3 (GGA-PBE, Alexandria via LeMat-Bulk).

abc: 4.637 4.637 10.592
angles: 90.00 90.00 90.00
Fractional coordinates of all 10 atoms:
Rh1 0.000 0.000 0.500
Rh2 0.000 0.500 0.117
Rh3 0.500 0.000 0.883
La1 0.000 0.500 0.750
La2 0.500 0.000 0.250
Sb1 0.000 0.000 0.000
Sb2 0.000 0.500 0.362
Sb3 0.500 0.500 0.000
Sb4 0.500 0.000 0.638
Ag1 0.500 0.500 0.500

- Space-group type: P-4m2

---

2.
# LaErIn2Se4

An optimized crystal structure of LaErIn2Se4 (GGA-PBE, Alexandria via LeMat-Bulk).

abc: 4.252 8.087 7.380
angles: 72.42 90.00 90.00
Fractional coordinates of all 8 atoms:
Se1 0.500 0.708 0.277
Se2 0.000 0.286 0.251
Se3 0.000 0.714 0.749
Se4 0.500 0.292 0.723
In1 0.500 0.000 0.500
In2 0.000 0.000 0.000
Er1 0.000 0.500 0.500
La1 0.500 0.500 0.000

- Space-group type: P2/m

---

3.
# KSr2LiZn

An optimized crystal structure of KSr2LiZn (GGA-PBE, Alexandria via LeMat-Bulk).

abc: 6.328 5.443 6.328
angles: 90.00 90.00 90.00
Fractional coordinates of all 5 atoms:
Sr1 0.000 0.000 0.500
Sr2 0.500 0.000 0.000
K1 0.500 0.500 0.500
Zn1 0.000 0.000 0.000
Li1 0.000 0.500 0.000

- Space-group type: P4/mmm
- ΔE_f: 0.065 eV per atom

---

4.
# RbCoI4

An optimized crystal structure of RbCoI4 (GGA-PBE, Alexandria via LeMat-Bulk).

abc: 9.543 10.612 11.521
angles: 90.00 90.00 95.11
Site moments in Bohr magnetons follow the coordinates.
Fractional coordinates of all 24 atoms:
I1 0.064 0.316 0.940  0.22
I2 0.962 0.840 0.389  0.23
I3 0.538 0.660 0.889  0.23
I4 0.785 0.418 0.344  0.25
I5 0.936 0.684 0.060  0.22
I6 0.280 0.935 0.801  0.25
I7 0.462 0.340 0.111  0.23
I8 0.285 0.918 0.156  0.25
I9 0.780 0.435 0.699  0.25
I10 0.215 0.582 0.656  0.25
I11 0.715 0.082 0.844  0.25
I12 0.038 0.160 0.611  0.23
I13 0.220 0.565 0.301  0.25
I14 0.436 0.184 0.440  0.22
I15 0.720 0.065 0.199  0.25
I16 0.564 0.816 0.560  0.22
Co1 0.101 0.751 0.225  2.44
Co2 0.601 0.251 0.275  2.44
Co3 0.899 0.249 0.775  2.44
Co4 0.399 0.749 0.725  2.44
Rb1 0.092 0.205 0.266  0.00
Rb2 0.908 0.795 0.734  0.00
Rb3 0.408 0.295 0.766  0.00
Rb4 0.592 0.705 0.234  0.00

- Space-group type: P2_1/c

---

5.
# Ce3Sb2I2

An optimized crystal structure of Ce3Sb2I2 (GGA-PBE, Alexandria via LeMat-Bulk).

abc: 4.456 7.859 7.812
angles: 98.83 106.57 90.00
Site moments in Bohr magnetons follow the coordinates.
Fractional coordinates of all 7 atoms:
Ce1 0.751 0.232 0.501  1.02
Ce2 0.249 0.768 0.499  1.02
Ce3 0.000 0.000 0.000  0.92
Sb1 0.379 0.130 0.758  -0.03
Sb2 0.621 0.870 0.242  -0.03
I1 0.878 0.616 0.756  -0.01
I2 0.122 0.384 0.244  -0.01

- Space-group type: C2/m

---

6.
# Sm2Ho7Sc

An optimized crystal structure of Sm2Ho7Sc (GGA-PBE, Alexandria via LeMat-Bulk).

abc: 3.448 14.598 14.598
angles: 154.52 90.00 90.00
Fractional coordinates of all 10 atoms:
Ho1 0.500 0.340 0.148
Ho2 0.000 0.184 0.816
Ho3 0.500 0.660 0.852
Ho4 0.500 0.852 0.660
Ho5 0.500 0.148 0.340
Ho6 0.500 0.500 0.500
Ho7 0.000 0.816 0.184
Sm1 0.500 0.707 0.293
Sm2 0.500 0.293 0.707
Sc1 0.000 0.000 0.000

- Space-group type: Cmmm
- ΔE_f: 0.174 eV per atom

---

7.
# AcSmAlZn

An optimized crystal structure of AcSmAlZn (GGA-PBE, Alexandria via LeMat-Bulk).

abc: 5.396 5.396 5.396
angles: 60.00 60.00 60.00
Fractional coordinates of all 4 atoms:
Sm1 0.750 0.750 0.750
Ac1 0.250 0.250 0.250
Zn1 0.500 0.500 0.500
Al1 0.000 0.000 0.000

- Space-group type: F-43m
- ΔE_f: -0.254 eV per atom

---

8.
# Pr2Er2Ni15

An optimized crystal structure of Pr2Er2Ni15 (GGA-PBE, Alexandria via LeMat-Bulk).

abc: 6.520 6.520 6.520
angles: 82.44 82.44 82.44
Site moments in Bohr magnetons follow the coordinates.
Fractional coordinates of all 19 atoms:
Ni1 0.654 0.654 0.164  0.15
Ni2 0.000 0.303 0.697  0.18
Ni3 0.654 0.164 0.654  0.15
Ni4 0.500 0.000 0.000  0.12
Ni5 0.000 0.000 0.500  0.12
Ni6 0.697 0.000 0.303  0.18
Ni7 0.164 0.654 0.654  0.15
Ni8 0.000 0.697 0.303  0.18
Ni9 0.303 0.697 0.000  0.18
Ni10 0.346 0.836 0.346  0.15
Ni11 0.836 0.346 0.346  0.15
Ni12 0.303 0.000 0.697  0.18
Ni13 0.000 0.500 0.000  0.12
Ni14 0.346 0.346 0.836  0.15
Ni15 0.697 0.303 0.000  0.18
Pr1 0.642 0.642 0.642  -0.02
Pr2 0.358 0.358 0.358  -0.02
Er1 0.890 0.890 0.890  -0.05
Er2 0.110 0.110 0.110  -0.05

- Space-group type: R-3m
- ΔE_f: -0.217 eV per atom

---

9.
# BaAcInSb

An optimized crystal structure of BaAcInSb (GGA-PBE, Alexandria via LeMat-Bulk).

abc: 5.889 5.889 5.889
angles: 60.00 60.00 60.00
Fractional coordinates of all 4 atoms:
Ac1 0.250 0.250 0.250
Sb1 0.000 0.000 0.000
In1 0.500 0.500 0.500
Ba1 0.750 0.750 0.750

- Space-group type: F-43m

---

10.
# Zr3TiPt2C

An optimized crystal structure of Zr3TiPt2C (GGA-PBE, Alexandria via LeMat-Bulk).

abc: 4.137 4.465 7.535
angles: 107.24 105.93 90.00
Fractional coordinates of all 7 atoms:
Zr1 0.000 0.500 0.000
Zr2 0.826 0.826 0.651
Zr3 0.174 0.174 0.349
Pt1 0.636 0.636 0.272
Pt2 0.364 0.364 0.728
Ti1 0.500 0.000 0.000
C1 0.000 0.000 0.000

- Space-group type: Immm
- ΔE_f: -0.757 eV per atom

---

11.
# Nd2TcH6

An optimized crystal structure of Nd2TcH6 (GGA-PBE, Alexandria via LeMat-Bulk).

abc: 5.200 5.200 5.200
angles: 60.00 60.00 60.00
Fractional coordinates of all 9 atoms:
H1 0.244 0.756 0.756
H2 0.756 0.244 0.244
H3 0.244 0.756 0.244
H4 0.756 0.244 0.756
H5 0.756 0.756 0.244
H6 0.244 0.244 0.756
Nd1 0.750 0.750 0.750
Nd2 0.250 0.250 0.250
Tc1 0.000 0.000 0.000

- Space-group type: Fm-3m

---

12.
# Sm6Cu5Ni

An optimized crystal structure of Sm6Cu5Ni (GGA-PBE, Alexandria via LeMat-Bulk).

abc: 5.001 7.050 7.905
angles: 90.00 108.57 90.00
Fractional coordinates of all 12 atoms:
Cu1 0.000 0.500 0.000
Cu2 0.331 0.000 0.658
Cu3 0.666 0.500 0.334
Cu4 0.669 0.000 0.342
Cu5 0.334 0.500 0.666
Ni1 0.000 0.000 0.000
Sm1 0.500 0.755 0.000
Sm2 0.837 0.248 0.672
Sm3 0.500 0.245 0.000
Sm4 0.163 0.752 0.328
Sm5 0.163 0.248 0.328
Sm6 0.837 0.752 0.672

- Space-group type: P2/m
- ΔE_f: -0.197 eV per atom

---

13.
# CrAgRu2

An optimized crystal structure of CrAgRu2 (GGA-PBE, Alexandria via LeMat-Bulk).

abc: 2.898 4.572 4.558
angles: 90.00 90.00 90.00
Site moments in Bohr magnetons follow the coordinates.
Fractional coordinates of all 4 atoms:
Ag1 0.500 0.000 0.500  0.06
Cr1 0.000 0.500 0.500  3.10
Ru1 0.000 0.000 0.000  -0.58
Ru2 0.500 0.500 0.000  -0.66

- Space-group type: Pmmm
- ΔE_f: 0.592 eV per atom
- Polymorph energy (0 for the lowest one): 365 meV/atom

---

14.
# LiLaCd

An optimized crystal structure of LiLaCd (GGA-PBE, Alexandria via LeMat-Bulk).

abc: 6.687 6.687 3.528
angles: 74.71 74.71 30.59
Site moments in Bohr magnetons follow the coordinates.
Fractional coordinates of all 3 atoms:
Li1 0.636 0.636 0.364  0.01
La1 0.337 0.337 0.663  0.26
Cd1 0.027 0.027 0.973  0.01

- Space-group type: I4mm
- ΔE_f: -0.133 eV per atom
- Polymorph energy (0 for the lowest one): 80 meV/atom

---

15.
# TaTl2Rh

An optimized crystal structure of TaTl2Rh (GGA-PBE, Alexandria via LeMat-Bulk).

abc: 7.672 7.672 6.146
angles: 51.38 51.38 90.00
Fractional coordinates of all 8 atoms:
Tl1 0.605 0.125 0.250
Tl2 0.875 0.855 0.750
Tl3 0.375 0.395 0.750
Tl4 0.145 0.625 0.250
Rh1 0.500 0.500 0.000
Rh2 0.250 0.750 0.500
Ta1 0.750 0.250 0.500
Ta2 0.000 0.000 0.000

- Space-group type: I-42d
- ΔE_f: 0.711 eV per atom
- Polymorph energy (0 for the lowest one): 614 meV/atom

---

16.
# Ho3Si8Rh3

An optimized crystal structure of Ho3Si8Rh3 (GGA-PBE, Alexandria via LeMat-Bulk).

abc: 4.175 7.755 7.755
angles: 75.18 74.38 74.38
Fractional coordinates of all 14 atoms:
Si1 0.627 0.661 0.085
Si2 0.168 0.462 0.203
Si3 0.373 0.339 0.915
Si4 0.832 0.797 0.538
Si5 0.373 0.915 0.339
Si6 0.832 0.538 0.797
Si7 0.168 0.203 0.462
Si8 0.627 0.085 0.661
Rh1 0.000 0.226 0.774
Rh2 0.000 0.774 0.226
Rh3 0.500 0.000 0.000
Ho1 0.500 0.500 0.500
Ho2 0.813 0.187 0.187
Ho3 0.187 0.813 0.813

- Space-group type: Immm
- Polymorph energy (0 for the lowest one): 41 meV/atom

---

17.
# MnAgSb2

An optimized crystal structure of MnAgSb2 (GGA-PBE, Alexandria via LeMat-Bulk).

abc: 8.381 8.381 8.381
angles: 24.12 24.12 24.12
Site moments in Bohr magnetons follow the coordinates.
Fractional coordinates of all 4 atoms:
Sb1 0.490 0.490 0.490  -0.08
Sb2 0.010 0.010 0.010  -0.08
Ag1 0.250 0.250 0.250  0.00
Mn1 0.750 0.750 0.750  2.77

- Space-group type: R-3m

---

18.
# LiMg2CoH8

An optimized crystal structure of LiMg2CoH8 (GGA-PBE, Alexandria via LeMat-Bulk).

abc: 4.407 4.407 5.432
angles: 90.00 90.00 120.00
Fractional coordinates of all 12 atoms:
Li1 0.000 0.000 0.500
H1 0.160 0.840 0.169
H2 0.667 0.333 0.516
H3 0.321 0.160 0.831
H4 0.333 0.667 0.484
H5 0.840 0.679 0.831
H6 0.160 0.321 0.169
H7 0.679 0.840 0.169
H8 0.840 0.160 0.831
Mg1 0.667 0.333 0.184
Mg2 0.333 0.667 0.816
Co1 0.000 0.000 0.000

- Space-group type: P-3m1

---

19.
# PbCl

An optimized crystal structure of PbCl (GGA-PBE, Alexandria via LeMat-Bulk).

abc: 3.493 5.951 6.147
angles: 103.08 105.84 90.97
Fractional coordinates of all 4 atoms:
Pb1 0.637 0.295 0.280
Pb2 0.363 0.705 0.720
Cl1 0.598 0.773 0.222
Cl2 0.402 0.227 0.778

- Space-group type: P-1

---

20.
# CaCu2Rh

An optimized crystal structure of CaCu2Rh (GGA-PBE, Alexandria via LeMat-Bulk).

abc: 4.510 4.510 4.510
angles: 60.00 60.00 60.00
Fractional coordinates of all 4 atoms:
Rh1 0.750 0.750 0.750
Cu1 0.000 0.000 0.000
Cu2 0.250 0.250 0.250
Ca1 0.500 0.500 0.500

- Space-group type: F-43m
- ΔE_f: 0.036 eV per atom
- Polymorph energy (0 for the lowest one): 184 meV/atom

---

21.
# NbCuSi

An optimized crystal structure of NbCuSi (GGA-PBE, Alexandria via LeMat-Bulk).

abc: 5.585 3.630 9.106
angles: 90.00 108.46 90.00
Fractional coordinates of all 12 atoms:
Nb1 0.323 0.500 0.642
Nb2 0.677 0.500 0.358
Nb3 0.677 0.000 0.858
Nb4 0.323 0.000 0.142
Si1 0.500 0.500 0.000
Si2 0.000 0.000 0.500
Si3 0.500 0.000 0.500
Si4 0.000 0.500 0.000
Cu1 0.159 0.000 0.822
Cu2 0.159 0.500 0.322
Cu3 0.841 0.500 0.678
Cu4 0.841 0.000 0.178

- Space-group type: C2/m

---

22.
# Y2Ho2Er

An optimized crystal structure of Y2Ho2Er (GGA-PBE, Alexandria via LeMat-Bulk).

abc: 9.253 9.253 3.718
angles: 90.00 90.00 90.00
Fractional coordinates of all 10 atoms:
Ho1 0.627 0.873 0.000
Ho2 0.873 0.373 0.000
Ho3 0.373 0.127 0.000
Ho4 0.127 0.627 0.000
Y1 0.672 0.172 0.500
Y2 0.328 0.828 0.500
Y3 0.172 0.328 0.500
Y4 0.828 0.672 0.500
Er1 0.500 0.500 0.000
Er2 0.000 0.000 0.000

- Space-group type: P4/mbm
- ΔE_f: 0.096 eV per atom
- Polymorph energy (0 for the lowest one): 86 meV/atom

---

23.
# GaAg2Cl6

An optimized crystal structure of GaAg2Cl6 (GGA-PBE, Alexandria via LeMat-Bulk).

abc: 5.204 10.603 10.603
angles: 114.67 103.22 103.22
Fractional coordinates of all 18 atoms:
Ga1 0.250 0.167 0.833
Ga2 0.750 0.833 0.167
Cl1 0.096 0.518 0.699
Cl2 0.404 0.301 0.482
Cl3 0.117 0.890 0.356
Cl4 0.639 0.037 0.209
Cl5 0.861 0.791 0.963
Cl6 0.904 0.482 0.301
Cl7 0.617 0.356 0.890
Cl8 0.596 0.699 0.518
Cl9 0.139 0.209 0.037
Cl10 0.383 0.644 0.110
Cl11 0.361 0.963 0.791
Cl12 0.883 0.110 0.644
Ag1 0.619 0.534 0.736
Ag2 0.381 0.466 0.264
Ag3 0.119 0.736 0.534
Ag4 0.881 0.264 0.466

- Space-group type: C2/c
- Polymorph energy (0 for the lowest one): 0 meV/atom

---

What E values result from the calculations? In sequence: -59.02, -39.47, -7.32, -69.16, -36.27, -46.07, -14.86, -109.53, -15.12, -60.15, -44.69, -56.94, -28.66, -8.15, -42.19, -88.44, -19.72, -41.35, -13.72, -17.40, -80.78, -52.33, -52.60 eV/cell.